(1)
Entry from Alexandria: a relaxed structure of Tl2TePbO8 (PBE).

abc: 5.0673 5.0211 6.7720
angles: 90.00 90.00 92.97
Sites, in units of the cell vectors:
1 Tl 0.5000 0.5000 0.7557
2 Tl 0.5000 0.5000 0.2443
3 Te 0.0000 0.0000 0.0000
4 Pb 0.0000 0.0000 0.5000
5 O 0.1617 0.8051 0.2194
6 O 0.6965 0.7383 0.0000
7 O 0.8383 0.1949 0.2194
8 O 0.8383 0.1949 0.7806
9 O 0.3035 0.2617 0.0000
10 O 0.1617 0.8051 0.7806
11 O 0.6804 0.7156 0.5000
12 O 0.3196 0.2844 0.5000

Computed properties:
The space-group type is P2/m (10).

***

(2)
Entry from Alexandria: a relaxed structure of TlTePbO6 (PBE).

abc: 5.5879 5.5879 10.1532
angles: 90.00 90.00 120.00
Sites, in units of the cell vectors:
1 Tl 0.0000 0.0000 0.0000
2 Tl 0.0000 0.0000 0.5000
3 Te 0.6667 0.3333 0.2500
4 Te 0.3333 0.6667 0.7500
5 Pb 0.3333 0.6667 0.2500
6 Pb 0.6667 0.3333 0.7500
7 O 0.6488 0.6167 0.1401
8 O 0.9679 0.3512 0.1401
9 O 0.3512 0.9679 0.6401
10 O 0.0321 0.6488 0.8599
11 O 0.3833 0.3512 0.3599
12 O 0.9679 0.6167 0.3599
13 O 0.6167 0.9679 0.8599
14 O 0.6488 0.0321 0.3599
15 O 0.0321 0.3833 0.6401
16 O 0.3833 0.0321 0.1401
17 O 0.6167 0.6488 0.6401
18 O 0.3512 0.3833 0.8599

Computed properties:
The space-group type is P-31c (163).

***

(3)
Entry from Alexandria: a relaxed structure of Tl2TePbO6 (PBE).

abc: 6.1884 6.2375 6.1584
angles: 62.56 62.15 55.69
Sites, in units of the cell vectors:
1 Tl 0.5607 0.5364 0.3860
2 Tl 0.0132 0.0313 0.9523
3 Te 0.3016 0.3448 0.0258
4 Pb 0.8065 0.8316 0.5919
5 O 0.6400 0.2190 0.2499
6 O 0.1943 0.8760 0.2843
7 O 0.9235 0.6192 0.1962
8 O 0.3438 0.6732 0.7940
9 O 0.7063 0.1835 0.7464
10 O 0.1719 0.3466 0.7884

Computed properties:
The space-group type is P1 (1).

***

(4)
Entry from Alexandria: a relaxed structure of Tl3Te2PbO8 (PBE).

abc: 6.4472 6.4472 8.0181
angles: 90.00 90.00 120.00
Sites, in units of the cell vectors:
1 Tl 0.3333 0.6667 0.6849
2 Tl 0.6667 0.3333 0.3151
3 Tl 0.0000 0.0000 0.0000
4 Te 0.3333 0.6667 0.2204
5 Te 0.6667 0.3333 0.7796
6 Pb 0.0000 0.0000 0.5000
7 O 0.3333 0.6667 0.9875
8 O 0.6667 0.3333 0.0125
9 O 0.1726 0.8274 0.2995
10 O 0.8274 0.1726 0.7005
11 O 0.1726 0.3451 0.2995
12 O 0.8274 0.6549 0.7005
13 O 0.6549 0.8274 0.2995
14 O 0.3451 0.1726 0.7005

Computed properties:
The space-group type is P-3m1 (164).

***

(5)
Entry from Alexandria: a relaxed structure of TmTePbO6 (PBE).

abc: 5.6164 5.6164 9.6668
angles: 90.00 90.00 120.00
Sites, in units of the cell vectors:
1 Tm 0.6667 0.3333 0.2500
2 Tm 0.3333 0.6667 0.7500
3 Te 0.3333 0.6667 0.2500
4 Te 0.6667 0.3333 0.7500
5 Pb 0.0000 0.0000 0.0000
6 Pb 0.0000 0.0000 0.5000
7 O 0.6182 0.6540 0.1383
8 O 0.0358 0.3818 0.1383
9 O 0.3818 0.0358 0.6383
10 O 0.9642 0.6182 0.8617
11 O 0.3460 0.3818 0.3617
12 O 0.0358 0.6540 0.3617
13 O 0.6540 0.0358 0.8617
14 O 0.6182 0.9642 0.3617
15 O 0.9642 0.3460 0.6383
16 O 0.3460 0.9642 0.1383
17 O 0.6540 0.6182 0.6383
18 O 0.3818 0.3460 0.8617

Computed properties:
The space-group type is P-31c (163).

***

(6)
Entry from Alexandria: a relaxed structure of UTe2PbO8 (PBE).

abc: 5.9299 7.2840 7.6282
angles: 44.73 67.13 65.98
Sites, in units of the cell vectors:
1 U 0.0000 0.0000 0.0000
2 Te 0.2931 0.2030 0.2108
3 Te 0.7069 0.7970 0.7892
4 Pb 0.5000 0.5000 0.5000
5 O 0.9282 0.3673 0.7762
6 O 0.6742 0.5158 0.1359
7 O 0.0718 0.6327 0.2238
8 O 0.3258 0.4842 0.8641
9 O 0.6195 0.9728 0.2436
10 O 0.3805 0.0272 0.7564
11 O 0.1641 0.9728 0.2436
12 O 0.8359 0.0272 0.7564

Computed properties:
The space-group type is C2/m (12). The energy above the most stable polymorph in this dataset comes out at 33.8 meV/atom.

***

no.,uncorrected formation energy (eV/atom)
1,-0.78
2,-0.84
3,-0.84
4,-0.85
5,-1.69
6,-1.75